No. 1
Material: La4InAg2Hg
Method: DFT, PBE
State: optimized geometry

Computed properties:
- energy relative to the elements (meV per atom) = -379

Lattice parameters (Å, degrees): 9.522 9.522 9.522 33.52 33.52 33.52
Positions (direct):
La1 0.123 0.123 0.123
La2 0.373 0.373 0.373
La3 0.627 0.627 0.627
La4 0.877 0.877 0.877
In1 0.500 0.500 0.500
Ag1 0.247 0.247 0.247
Ag2 0.753 0.753 0.753
Hg1 0.000 0.000 0.000

No. 2
Material: Li2In2AgHg5
Method: DFT, PBE
State: optimized geometry

Computed properties:
- energy relative to the elements (meV per atom) = -86

Lattice parameters (Å, degrees): 12.279 12.279 3.088 90.00 90.00 90.00
Positions (direct):
Li1 0.136 0.364 0.000
Li2 0.364 0.864 0.000
Li3 0.636 0.136 0.000
Li4 0.864 0.636 0.000
In1 0.178 0.678 0.000
In2 0.322 0.178 0.000
In3 0.678 0.822 0.000
In4 0.822 0.322 0.000
Ag1 0.000 0.000 0.000
Ag2 0.500 0.500 0.000
Hg1 0.000 0.500 0.500
Hg2 0.046 0.202 0.500
Hg3 0.202 0.954 0.500
Hg4 0.298 0.454 0.500
Hg5 0.454 0.702 0.500
Hg6 0.500 0.000 0.500
Hg7 0.546 0.298 0.500
Hg8 0.702 0.546 0.500
Hg9 0.798 0.046 0.500
Hg10 0.954 0.798 0.500

No. 3
Material: Li3In4Ag2Hg2
Method: DFT, PBE
State: optimized geometry

Computed properties:
- energy relative to the elements (meV per atom) = -131

Lattice parameters (Å, degrees): 4.755 4.755 12.330 90.00 90.00 120.00
Positions (direct):
Li1 0.000 0.000 0.000
Li2 0.000 0.000 0.268
Li3 0.000 0.000 0.732
In1 0.333 0.667 0.425
In2 0.333 0.667 0.898
In3 0.667 0.333 0.102
In4 0.667 0.333 0.575
Ag1 0.333 0.667 0.658
Ag2 0.667 0.333 0.342
Hg1 0.333 0.667 0.174
Hg2 0.667 0.333 0.826

No. 4
Material: Li2In3AgHg3
Method: DFT, PBE
State: optimized geometry

Computed properties:
- energy relative to the elements (meV per atom) = -116

Lattice parameters (Å, degrees): 8.322 8.322 3.326 90.00 90.00 120.00
Positions (direct):
Li1 0.333 0.667 0.000
Li2 0.667 0.333 0.000
In1 0.000 0.705 0.000
In2 0.295 0.295 0.000
In3 0.705 0.000 0.000
Ag1 0.000 0.000 0.500
Hg1 0.000 0.379 0.500
Hg2 0.379 0.000 0.500
Hg3 0.621 0.621 0.500

No. 5
Material: Li2InAgHg2
Method: DFT, PBE
State: optimized geometry

Computed properties:
- energy relative to the elements (meV per atom) = -158

Lattice parameters (Å, degrees): 8.394 8.394 8.394 139.47 59.78 138.02
Positions (direct):
Li1 0.150 0.234 0.384
Li2 0.350 0.734 0.084
Li3 0.650 0.266 0.916
Li4 0.850 0.766 0.616
In1 0.250 0.750 0.500
In2 0.750 0.250 0.500
Ag1 0.250 0.250 0.000
Ag2 0.750 0.750 0.000
Hg1 0.165 0.750 0.914
Hg2 0.335 0.250 0.585
Hg3 0.665 0.750 0.415
Hg4 0.835 0.250 0.086

No. 6
Material: Li5InAg2Hg2
Method: DFT, PBE
State: optimized geometry

Computed properties:
- energy relative to the elements (meV per atom) = -177

Lattice parameters (Å, degrees): 9.876 9.876 3.911 90.00 90.00 90.00
Positions (direct):
Li1 0.000 0.500 0.000
Li2 0.125 0.172 0.000
Li3 0.172 0.875 0.000
Li4 0.328 0.375 0.000
Li5 0.375 0.672 0.000
Li6 0.500 0.000 0.000
Li7 0.625 0.328 0.000
Li8 0.672 0.625 0.000
Li9 0.828 0.125 0.000
Li10 0.875 0.828 0.000
In1 0.000 0.000 0.500
In2 0.500 0.500 0.500
Ag1 0.136 0.364 0.500
Ag2 0.364 0.864 0.500
Ag3 0.636 0.136 0.500
Ag4 0.864 0.636 0.500
Hg1 0.159 0.659 0.500
Hg2 0.341 0.159 0.500
Hg3 0.659 0.841 0.500
Hg4 0.841 0.341 0.500